No. 1
Here is TlPt2Au after structural relaxation from Alexandria. Energies are from PBE.

Energy relative to the elements, meV/atom: 191
Magnetic moment, Bohr magnetons per cell: 0.0
ρ, g cm⁻³: 16.72

abc: 4.018 4.018 19.482
angles: 90.00 90.00 90.00
Space group I-42d (No. 122)
Inequivalent atoms, fractional coordinates:
Tl (0.000, 0.000, 0.000) [4 per cell]
Pt (0.238, 0.250, 0.625) [8 per cell]
Au (0.000, 0.000, 0.500) [4 per cell]

=====

No. 2
Here is BaLiCa2Pd after structural relaxation from Alexandria. Energies are from PBE.

Energy relative to the elements, meV/atom: -226
Magnetic moment, Bohr magnetons per cell: 0.0
Polymorph energy (0 for the lowest one), meV per atom: 0
ρ, g cm⁻³: 2.74

abc: 5.692 5.692 6.189
angles: 90.00 90.00 90.00
Space group P4/mmm (No. 123)
Inequivalent atoms, fractional coordinates:
Ba (0.000, 0.000, 0.000) [1 per cell]
Li (0.500, 0.500, 0.000) [1 per cell]
Ca (0.000, 0.500, 0.500) [2 per cell]
Pd (0.000, 0.000, 0.500) [1 per cell]

=====

The lowest energy relative to the elements belongs to which entry? BaLiCa2Pd

=====

Repeat the second record exactly.
Here is BaLiCa2Pd after structural relaxation from Alexandria. Energies are from PBE.

Energy relative to the elements, meV/atom: -226
Magnetic moment, Bohr magnetons per cell: 0.0
Polymorph energy (0 for the lowest one), meV per atom: 0
ρ, g cm⁻³: 2.74

abc: 5.692 5.692 6.189
angles: 90.00 90.00 90.00
Space group P4/mmm (No. 123)
Inequivalent atoms, fractional coordinates:
Ba (0.000, 0.000, 0.000) [1 per cell]
Li (0.500, 0.500, 0.000) [1 per cell]
Ca (0.000, 0.500, 0.500) [2 per cell]
Pd (0.000, 0.000, 0.500) [1 per cell]